1.
Entry from the Alexandria database: a relaxed structure of Pm12Pr3Sm (PBE).

DOS(E_F): 24.41 states/eV per cell
energy of formation from the pure elements: 12 meV/atom
ρ: 6.9 g cm⁻³
SG: P4/mmm
total DFT energy (no corrections): -4.7416 eV/atom

abc: 5.1750 5.1750 20.6906
angles: 90.00 90.00 90.00
Element x y z (fractional)
Pm1 0.0000 0.0000 0.0000
Pm2 0.0000 0.0000 0.2489
Pm3 0.0000 0.0000 0.5000
Pm4 0.0000 0.0000 0.7511
Pm5 0.0000 0.5000 0.1238
Pm6 0.0000 0.5000 0.3745
Pm7 0.0000 0.5000 0.6255
Pm8 0.0000 0.5000 0.8762
Pm9 0.5000 0.0000 0.1238
Pm10 0.5000 0.0000 0.3745
Pm11 0.5000 0.0000 0.6255
Pm12 0.5000 0.0000 0.8762
Pr1 0.5000 0.5000 0.2492
Pr2 0.5000 0.5000 0.5000
Pr3 0.5000 0.5000 0.7508
Sm1 0.5000 0.5000 0.0000


2.
Entry from the Alexandria database: a relaxed structure of AcThSi2Pd2 (PBE).

DOS(E_F): 3.83 states/eV per cell
uncorrected formation energy: -0.910 eV per atom
ρ: 8.8 g cm⁻³
SG: P-3m1
total DFT energy (no corrections): -6.3696 eV/atom

abc: 4.3241 4.3241 8.4524
angles: 90.00 90.00 120.00
Element x y z (fractional)
Ac1 0.0000 0.0000 0.0000
Th1 0.0000 0.0000 0.5000
Si1 0.3333 0.6667 0.7285
Si2 0.6667 0.3333 0.2715
Pd1 0.3333 0.6667 0.2617
Pd2 0.6667 0.3333 0.7383


3.
Entry from the Alexandria database: a relaxed structure of BAu (PBE).

DOS(E_F): 1.78 states/eV per cell
energy of formation from the pure elements: 570 meV/atom
ρ: 9.7 g cm⁻³
SG: Fddd
total DFT energy (no corrections): -4.4078 eV/atom

abc: 8.0138 7.0936 5.0474
angles: 80.70 60.87 38.43
Element x y z (fractional)
B1 0.0314 0.2186 0.0314
B2 0.2186 0.0314 0.2186
B3 0.7814 0.9686 0.7814
B4 0.9686 0.7814 0.9686
Au1 0.0435 0.0435 0.7065
Au2 0.2935 0.2935 0.9565
Au3 0.7065 0.7065 0.0435
Au4 0.9565 0.9565 0.2935


4.
Entry from the Alexandria database: a relaxed structure of La4Ga2I (PBE).

DOS(E_F): 10.82 states/eV per cell
uncorrected formation energy: -0.219 eV per atom
ρ: 5.2 g cm⁻³
SG: I4/mmm
total DFT energy (no corrections): -4.1212 eV/atom

abc: 8.4950 8.4950 8.4950
angles: 138.75 138.75 59.76
Element x y z (fractional)
La1 0.0000 0.5000 0.5000
La2 0.2138 0.2138 0.0000
La3 0.5000 0.0000 0.5000
La4 0.7862 0.7862 0.0000
Ga1 0.4126 0.4126 0.0000
Ga2 0.5874 0.5874 0.0000
I1 0.0000 0.0000 0.0000


5.
Entry from the Alexandria database: a relaxed structure of BeAsPt (PBE).

DOS(E_F): 0.70 states/eV per cell
energy of formation from the pure elements: -145 meV/atom
offset from the most stable computed form: 0.165 eV/atom
ρ: 10.5 g cm⁻³
SG: I4mm
total DFT energy (no corrections): -4.9504 eV/atom

abc: 5.8564 5.8564 5.8564
angles: 152.06 152.06 39.93
Element x y z (fractional)
Be1 0.0000 0.0000 0.0000
As1 0.3166 0.3166 0.0000
Pt1 0.6092 0.6092 0.0000


6.
Entry from the Alexandria database: a relaxed structure of Nd4Cd3Ga (PBE).

DOS(E_F): 8.71 states/eV per cell
energy of formation from the pure elements: -374 meV/atom
ρ: 7.3 g cm⁻³
SG: P4/mmm
total DFT energy (no corrections): -3.4795 eV/atom

abc: 3.7750 3.7750 15.5988
angles: 90.00 90.00 90.00
Element x y z (fractional)
Nd1 0.0000 0.0000 0.1137
Nd2 0.0000 0.0000 0.3715
Nd3 0.0000 0.0000 0.6285
Nd4 0.0000 0.0000 0.8863
Cd1 0.5000 0.5000 0.2447
Cd2 0.5000 0.5000 0.5000
Cd3 0.5000 0.5000 0.7553
Ga1 0.5000 0.5000 0.0000


7.
Entry from the Alexandria database: a relaxed structure of Pm3Tl (PBE).

DOS(E_F): 6.49 states/eV per cell
energy of formation from the pure elements: -202 meV/atom
offset from the most stable computed form: 0.000 eV/atom
ρ: 8.7 g cm⁻³
SG: Pm-3m
total DFT energy (no corrections): -4.3565 eV/atom

abc: 4.9654 4.9654 4.9654
angles: 90.00 90.00 90.00
Element x y z (fractional)
Pm1 0.0000 0.0000 0.5000
Pm2 0.0000 0.5000 0.0000
Pm3 0.5000 0.0000 0.0000
Tl1 0.5000 0.5000 0.5000